1.
BeNi2Sb: relaxed, PBE.

The structure belongs to space group R-3m (No. 166, hexagonal axes); the cell edges are 3.9137, 3.9137 and 11.7784 Å and the angles 90.00°, 90.00° and 120.00°. The distinct sites, in fractional coordinates, are Be at (0.0000, 0.0000, 0.0000), Ni at (0.0000, 0.0000, 0.2794) and Sb at (0.0000, 0.0000, 0.5000).

The calculation puts the total energy at -4.9461 eV per atom. The polymorph energy (0 for the lowest one) comes out at 0.00 eV/f.u. The value obtained for the density of states at the Fermi level is 5.2 states/eV/cell. The formation energy without anion corrections is -9.00 kJ/mol of atoms.

---

2.
AsH2Br2: relaxed, PBE.

The structure belongs to space group I4/mmm (No. 139); the cell edges are 4.963, 4.963 and 7.011 Å and the angles 90.00°, 90.00° and 90.00°. The distinct sites, in fractional coordinates, are As at (0.000, 0.000, 0.000), H at (0.000, 0.000, 0.447) and Br at (0.000, 0.500, 0.250).

The calculation puts the total energy at -2.7278 eV per atom. The polymorph energy (0 for the lowest one) comes out at 0.00 eV/f.u. The value obtained for the density of states at the Fermi level is 4.9 states/eV/cell.

---

3.
Sm2Dy7Tc2: relaxed, PBE.

The structure belongs to space group Imm2 (No. 44); the cell edges are 3.570, 19.174 and 9.433 Å and the angles 90.00°, 90.00° and 90.00°. The distinct sites, in fractional coordinates, are Sm at (0.000, 0.245, 0.000), Dy at (0.000, 0.114, 0.695), Dy at (0.000, 0.138, 0.301), Dy at (0.000, 0.419, 0.514), Dy at (0.000, 0.500, 0.960), Tc at (0.000, 0.000, 0.218) and Tc at (0.000, 0.500, 0.262).

The calculation puts the total energy at -5.5809 eV per atom. The value obtained for the density of states at the Fermi level is 22.3 states/eV/cell. The formation energy is 0.09 eV/atom.

---

4.
SrScZn: relaxed, PBE.

The structure belongs to space group F-43m (No. 216); the cell edges are 7.186, 7.186 and 7.186 Å and the angles 90.00°, 90.00° and 90.00°. The distinct sites, in fractional coordinates, are Sr at (0.000, 0.000, 0.000), Sc at (0.000, 0.000, 0.500) and Zn at (0.250, 0.250, 0.250).

The calculation puts the total energy at -2.8675 eV per atom. The polymorph energy (0 for the lowest one) comes out at 1.03 eV/f.u. The value obtained for the density of states at the Fermi level is 18.3 states/eV/cell. The formation energy is 0.23 eV/atom.

---

5.
Ho2Th3Sc3: relaxed, PBE.

The structure belongs to space group P-62m (No. 189); the cell edges are 8.8042, 8.8042 and 3.4872 Å and the angles 90.00°, 90.00° and 120.00°. The distinct sites, in fractional coordinates, are Ho at (0.3333, 0.6667, 0.0000), Th at (0.0000, 0.2317, 0.0000) and Sc at (0.0000, 0.6065, 0.5000).

The calculation puts the total energy at -6.1798 eV per atom. The polymorph energy (0 for the lowest one) comes out at 0.67 eV/f.u. The value obtained for the density of states at the Fermi level is 11.4 states/eV/cell. The formation energy is 0.12 eV/atom.

---

6.
Mn2AsRuS: relaxed, PBE.

The structure belongs to space group P4/mmm (No. 123); the cell edges are 4.304, 4.304 and 4.393 Å and the angles 90.00°, 90.00° and 90.00°. The distinct sites, in fractional coordinates, are Mn at (0.000, 0.500, 0.000), As at (0.000, 0.000, 0.500), Ru at (0.500, 0.500, 0.500) and S at (0.500, 0.500, 0.000).

The calculation puts the total energy at -6.9644 eV per atom. The value obtained for the density of states at the Fermi level is 4.3 states/eV/cell. The formation energy without anion corrections is 30.29 kJ/mol of atoms.

---

7.
Er2Al2GaIr5: relaxed, PBE.

The structure belongs to space group P4/mbm (No. 127); the cell edges are 9.805, 9.805 and 3.464 Å and the angles 90.00°, 90.00° and 90.00°. The distinct sites, in fractional coordinates, are Er at (0.174, 0.326, 0.000), Al at (0.125, 0.625, 0.000), Ga at (0.000, 0.000, 0.000), Ir at (0.000, 0.500, 0.500) and Ir at (0.064, 0.797, 0.500).

The calculation puts the total energy at -7.1458 eV per atom. The value obtained for the density of states at the Fermi level is 9.0 states/eV/cell. The formation energy is -0.75 eV/atom.

---

8.
RbAlO2: relaxed, PBE.

The structure belongs to space group C2/c (No. 15); the cell edges are 8.869, 8.869 and 13.149 Å and the angles 90.00°, 99.12° and 90.00°. The distinct sites, in fractional coordinates, are Rb at (0.031, 0.191, 0.381), Rb at (0.213, 0.441, 0.091), Al at (0.103, 0.187, 0.669), Al at (0.142, 0.433, 0.829), O at (0.000, 0.079, 0.750), O at (0.000, 0.459, 0.250), O at (0.038, 0.310, 0.907), O at (0.215, 0.059, 0.604) and O at (0.231, 0.310, 0.749).

The calculation puts the total energy at -6.1220 eV per atom. The value obtained for the density of states at the Fermi level is 0.0 states/eV/cell. The formation energy without anion corrections is -237.87 kJ/mol of atoms.

---

9.
PuNp2US4: relaxed, PBE.

The structure belongs to space group P2/m (No. 10); the cell edges are 6.667, 3.846 and 6.872 Å and the angles 90.00°, 108.86° and 90.00°. The distinct sites, in fractional coordinates, are Pu at (0.000, 0.000, 0.000), Np at (0.000, 0.500, 0.500), Np at (0.500, 0.000, 0.500), U at (0.500, 0.500, 0.000), S at (0.251, 0.000, 0.750) and S at (0.251, 0.500, 0.250).

The calculation puts the total energy at -9.9585 eV per atom. The value obtained for the density of states at the Fermi level is 24.5 states/eV/cell. The formation energy without anion corrections is -140.59 kJ/mol of atoms.

---

10.
SrCdPt: relaxed, PBE.

The structure belongs to space group Pnma (No. 62); the cell edges are 7.609, 4.505 and 8.705 Å and the angles 90.00°, 90.00° and 90.00°. The distinct sites, in fractional coordinates, are Sr at (0.030, 0.250, 0.181), Cd at (0.144, 0.250, 0.565) and Pt at (0.231, 0.750, 0.377).

The calculation puts the total energy at -3.5759 eV per atom. The value obtained for the density of states at the Fermi level is 3.8 states/eV/cell. The formation energy is -0.70 eV/atom.

---

11.
BeCdSi2Ag: relaxed, PBE.

The structure belongs to space group P4/mmm (No. 123); the cell edges are 4.946, 4.946 and 5.158 Å and the angles 90.00°, 90.00° and 90.00°. The distinct sites, in fractional coordinates, are Be at (0.000, 0.000, 0.000), Cd at (0.500, 0.500, 0.500), Si at (0.000, 0.500, 0.500) and Ag at (0.500, 0.500, 0.000).

The calculation puts the total energy at -2.1662 eV per atom. The value obtained for the density of states at the Fermi level is 2.6 states/eV/cell. The formation energy without anion corrections is 144.87 kJ/mol of atoms.

---

12.
Ca2GeSb: relaxed, PBE.

The structure belongs to space group P4/mmm (No. 123); the cell edges are 4.967, 4.967 and 4.275 Å and the angles 90.00°, 90.00° and 90.00°. The distinct sites, in fractional coordinates, are Ca at (0.000, 0.500, 0.000), Ge at (0.000, 0.000, 0.500) and Sb at (0.500, 0.500, 0.500).

The calculation puts the total energy at -3.8366 eV per atom. The polymorph energy (0 for the lowest one) comes out at 0.00 eV/f.u. The value obtained for the density of states at the Fermi level is 1.9 states/eV/cell. The formation energy without anion corrections is -62.80 kJ/mol of atoms.

---

13.
Tb6Tm3In: relaxed, PBE.

The structure belongs to space group P2_1/m (No. 11); the cell edges are 9.580, 5.546 and 12.394 Å and the angles 90.00°, 110.94° and 90.00°. The distinct sites, in fractional coordinates, are Tb at (0.040, 0.250, 0.431), Tb at (0.185, 0.750, 0.166), Tb at (0.254, 0.250, 0.008), Tb at (0.346, 0.750, 0.798), Tb at (0.347, 0.250, 0.326), Tb at (0.425, 0.250, 0.638), Tm at (0.026, 0.750, 0.866), Tm at (0.100, 0.250, 0.720), Tm at (0.272, 0.750, 0.472) and In at (0.466, 0.750, 0.083).

The calculation puts the total energy at -4.4660 eV per atom. The value obtained for the density of states at the Fermi level is 31.2 states/eV/cell. The formation energy is -0.07 eV/atom.

---

14.
TlAg2IF2: relaxed, PBE.

The structure belongs to space group P2_1/m (No. 11); the cell edges are 5.881, 5.857 and 8.398 Å and the angles 90.00°, 102.26° and 90.00°. The distinct sites, in fractional coordinates, are Tl at (0.183, 0.250, 0.421), Ag at (0.203, 0.250, 0.895), Ag at (0.485, 0.750, 0.783), I at (0.283, 0.750, 0.079) and F at (0.168, 0.000, 0.656).

The calculation puts the total energy at -3.2100 eV per atom. The formation energy without anion corrections is -94.85 kJ/mol of atoms.

---

15.
MgCd3C4O12: relaxed, PBE.

The structure belongs to space group R-3 (No. 148, hexagonal axes); the cell edges are 4.9256, 4.9256 and 32.5652 Å and the angles 90.00°, 90.00° and 120.00°. The distinct sites, in fractional coordinates, are Mg at (0.0000, 0.0000, 0.0000), Cd at (0.0000, 0.0000, 0.2544), Cd at (0.0000, 0.0000, 0.5000), C at (0.0000, 0.0000, 0.1233), C at (0.0000, 0.0000, 0.3708), O at (0.0038, 0.7384, 0.8767) and O at (0.0325, 0.2786, 0.6290).

The calculation puts the total energy at -6.5518 eV per atom. The value obtained for the density of states at the Fermi level is 0.0 states/eV/cell. The formation energy without anion corrections is -146.18 kJ/mol of atoms.

---

16.
NbBAs3: relaxed, PBE.

The structure belongs to space group Pm-3m (No. 221); the cell edges are 4.370, 4.370 and 4.370 Å and the angles 90.00°, 90.00° and 90.00°. The distinct sites, in fractional coordinates, are Nb at (0.000, 0.000, 0.000), B at (0.500, 0.500, 0.500) and As at (0.000, 0.500, 0.500).

The calculation puts the total energy at -5.3454 eV per atom. The polymorph energy (0 for the lowest one) comes out at 0.00 eV/f.u. The value obtained for the density of states at the Fermi level is 5.4 states/eV/cell. The formation energy is 0.79 eV/atom.

---

17.
TeRuCl3: relaxed, PBE.

The structure belongs to space group Pm-3m (No. 221); the cell edges are 5.430, 5.430 and 5.430 Å and the angles 90.00°, 90.00° and 90.00°. The distinct sites, in fractional coordinates, are Te at (0.000, 0.000, 0.000), Ru at (0.500, 0.500, 0.500) and Cl at (0.000, 0.000, 0.500).

The calculation puts the total energy at -2.8135 eV per atom. The polymorph energy (0 for the lowest one) comes out at 2.79 eV/f.u. The value obtained for the density of states at the Fermi level is 2.2 states/eV/cell. The formation energy without anion corrections is 75.07 kJ/mol of atoms.

---

18.
CeZn7Pd5: relaxed, PBE.

The structure belongs to space group Imm2 (No. 44); the cell edges are 5.476, 9.018 and 8.741 Å and the angles 90.00°, 90.00° and 90.00°. The distinct sites, in fractional coordinates, are Ce at (0.000, 0.000, 0.000), Zn at (0.000, 0.000, 0.359), Zn at (0.000, 0.000, 0.658), Zn at (0.000, 0.287, 0.512), Zn at (0.000, 0.350, 0.026), Zn at (0.000, 0.500, 0.740), Pd at (0.000, 0.500, 0.297) and Pd at (0.248, 0.261, 0.765).

The calculation puts the total energy at -3.5914 eV per atom. The value obtained for the density of states at the Fermi level is 20.7 states/eV/cell. The formation energy is -0.45 eV/atom.

---

19.
Zr2TiCl8: relaxed, PBE.

The structure belongs to space group C2/m (No. 12); the cell edges are 12.002, 10.441 and 6.171 Å and the angles 90.00°, 94.88° and 90.00°. The distinct sites, in fractional coordinates, are Zr at (0.187, 0.000, 0.351), Ti at (0.000, 0.000, 0.000), Cl at (0.097, 0.191, 0.202), Cl at (0.125, 0.500, 0.732) and Cl at (0.151, 0.000, 0.735).

The calculation puts the total energy at -5.0878 eV per atom. The polymorph energy (0 for the lowest one) comes out at 0.00 eV/f.u. The value obtained for the density of states at the Fermi level is 5.7 states/eV/cell. The formation energy without anion corrections is -142.11 kJ/mol of atoms.

---

20.
PmPrSb2: relaxed, PBE.

The structure belongs to space group R3m (No. 160, hexagonal axes); the cell edges are 4.4822, 4.4822 and 23.0913 Å and the angles 90.00°, 90.00° and 120.00°. The distinct sites, in fractional coordinates, are Pm at (0.0000, 0.0000, 0.0000), Pr at (0.0000, 0.0000, 0.8287), Sb at (0.0000, 0.0000, 0.4120) and Sb at (0.0000, 0.0000, 0.5834).

The calculation puts the total energy at -5.5175 eV per atom. The polymorph energy (0 for the lowest one) comes out at 0.47 eV/f.u. The value obtained for the density of states at the Fermi level is 1.1 states/eV/cell. The formation energy without anion corrections is -103.60 kJ/mol of atoms.

---

21.
Tb3SmEr2As6: relaxed, PBE.

The structure belongs to space group C2/m (No. 12); the cell edges are 7.159, 12.398 and 7.159 Å and the angles 90.00°, 109.45° and 90.00°. The distinct sites, in fractional coordinates, are Tb at (0.000, 0.000, 0.000), Tb at (0.000, 0.334, 0.000), Sm at (0.000, 0.500, 0.500), Er at (0.000, 0.167, 0.500), As at (0.245, 0.000, 0.749) and As at (0.248, 0.169, 0.251).

The calculation puts the total energy at -6.1643 eV per atom. The value obtained for the density of states at the Fermi level is 3.7 states/eV/cell. The formation energy is -1.53 eV/atom.

---

22.
Dy2Ga4Ir3Rh: relaxed, PBE.

The structure belongs to space group P-4m2 (No. 115); the cell edges are 4.220, 4.220 and 10.270 Å and the angles 90.00°, 90.00° and 90.00°. The distinct sites, in fractional coordinates, are Dy at (0.000, 0.500, 0.237), Ga at (0.000, 0.000, 0.500), Ga at (0.000, 0.500, 0.873), Ga at (0.500, 0.500, 0.500), Ir at (0.000, 0.000, 0.000), Ir at (0.000, 0.500, 0.635) and Rh at (0.500, 0.500, 0.000).

The calculation puts the total energy at -6.2626 eV per atom. The value obtained for the density of states at the Fermi level is 5.3 states/eV/cell. The formation energy is -0.74 eV/atom.